Material: TbCeScAl
Method: DFT, PBE
State: optimized geometry

Total moment   0.563 μB/f.u.
VASP energy   -0.385 Ry per atom
Symmetry   No. 216
Theoretical density   6.053 g/cm3
ΔH_f (0 K)   -0.08 eV per atom

Lattice parameters (Å, degrees): 5.2405 5.2405 5.2405 60.00 60.00 60.00
Atoms (fractional coordinates):
Tb  0.2500  0.2500  0.2500
Ce  0.7500  0.7500  0.7500
Al  0.5000  0.5000  0.5000
Sc  0.0000  0.0000  0.0000

Material: Ba2ScMnB
Method: DFT, PBE
State: optimized geometry

Total moment   3.751 μB/f.u.
VASP energy   -0.300 Ry per atom
Symmetry   No. 123
Theoretical density   3.570 g/cm3
ΔH_f (0 K)   1.13 eV per atom

Lattice parameters (Å, degrees): 6.4698 4.2819 6.4698 90.00 90.00 90.00
Atoms (fractional coordinates):
Sc  0.0000  0.0000  0.0000
Ba  0.0000  0.0000  0.5000
Ba  0.5000  0.0000  0.0000
B  0.0000  0.5000  0.0000
Mn  0.5000  0.5000  0.5000

Material: Y2SiSe
Method: DFT, PBE
State: optimized geometry

Total moment   0.000 μB/f.u.
VASP energy   -0.499 Ry per atom
Symmetry   No. 123
Theoretical density   4.833 g/cm3
Raw formation energy   -1.330 eV/atom

Lattice parameters (Å, degrees): 4.1101 4.1101 5.7940 90.00 90.00 90.00
Atoms (fractional coordinates):
Se  0.0000  0.0000  0.3751
Y  0.0000  0.0000  0.8750
Y  0.5000  0.5000  0.3749
Si  0.5000  0.5000  0.8750

Material: Ba2PuSi2N6
Method: DFT, PBE
State: optimized geometry

Total moment   2.002 μB/f.u.
VASP energy   -0.586 Ry per atom
Symmetry   No. 166
Theoretical density   6.183 g/cm3
Raw formation energy   -0.798 eV/atom

Lattice parameters (Å, degrees): 5.8730 5.8730 6.8254 64.52 64.52 60.00
Atoms (fractional coordinates):
N  0.2605  0.7554  0.2286
N  0.7554  0.2605  0.2286
N  0.2446  0.2446  0.7714
N  0.7554  0.7554  0.2286
N  0.2446  0.7395  0.7714
N  0.7395  0.2446  0.7714
Ba  0.2146  0.2146  0.3561
Ba  0.7854  0.7854  0.6439
Si  0.5908  0.5908  0.2275
Si  0.4092  0.4092  0.7725
Pu  0.0000  0.0000  0.0000

Material: Pr6Si2HgCl3
Method: DFT, PBE
State: optimized geometry

Total moment   0.000 μB/f.u.
VASP energy   -0.357 Ry per atom
Symmetry   No. 12
Theoretical density   5.954 g/cm3
Raw formation energy   -1.079 eV/atom

Lattice parameters (Å, degrees): 4.2985 8.6141 9.5375 101.26 103.02 90.00
Atoms (fractional coordinates):
Cl  0.1683  0.8341  0.3366
Cl  0.8317  0.1659  0.6634
Cl  0.5000  0.5000  0.0000
Si  0.1667  0.3357  0.3334
Si  0.8333  0.6643  0.6666
Pr  0.0054  0.2614  0.0108
Pr  0.3309  0.8950  0.6618
Pr  0.6716  0.5728  0.3431
Pr  0.3284  0.4272  0.6569
Pr  0.6691  0.1050  0.3382
Pr  0.9946  0.7386  0.9892
Hg  0.5000  0.0000  0.0000

Material: MnMoAs
Method: DFT, PBE
State: optimized geometry

Total moment   2.231 μB/f.u.
VASP energy   -0.587 Ry per atom
Symmetry   No. 42
Theoretical density   8.365 g/cm3
ΔH_f (0 K)   0.23 eV per atom

Lattice parameters (Å, degrees): 6.2819 6.0851 2.8354 80.65 72.90 26.45
Atoms (fractional coordinates):
As  0.9938  0.9938  0.0062
Mn  0.3367  0.3367  0.6633
Mo  0.6695  0.6695  0.3305